This record from the Alexandria database describes a relaxed TmPaB4 crystal. The functional is PBE.

Its space group is I-4m2, No. 119. The calculation puts the formation energy at -0.470 eV per atom. Its mass density is 10.00 g/cm3. The total moment is 0.000 μB/atom.

Lattice parameters (Å, degrees): 6.2566 6.2566 6.2566 146.68 146.68 47.83
Element x y z (fractional)
Tm: 0.0000 0.0000 0.0000
Pa: 0.7500 0.2500 0.5000
B: 0.1700 0.6700 0.5000
B: 0.3300 0.8300 0.5000
B: 0.4216 0.4216 0.0000
B: 0.5784 0.5784 0.0000

This record from the Alexandria database describes a relaxed NdHo6Sc2 crystal. The functional is PBE.

Its space group is R3m, No. 160. The calculation puts the formation energy at 0.409 eV per atom. Its mass density is 7.22 g/cm3. The total moment is 0.000 μB/atom.

Lattice parameters (Å, degrees): 7.5293 7.5293 7.5293 57.04 57.04 57.04
Element x y z (fractional)
Nd: 0.0000 0.0000 0.0000
Ho: 0.2957 0.7288 0.7288
Ho: 0.4620 0.9467 0.9467
Ho: 0.7288 0.2957 0.7288
Ho: 0.7288 0.7288 0.2957
Ho: 0.9467 0.4620 0.9467
Ho: 0.9467 0.9467 0.4620
Sc: 0.2634 0.2634 0.2634
Sc: 0.4391 0.4391 0.4391